DFT (PBE) results for a geometry-optimized NpURh6 structure.

Energy (eV/atom): -9.09
Total magnetic moment (μB per atom): 0.150
Crystal system: tetragonal

```
data_NpURh6
_cell_length_a 4.020
_cell_length_b 4.020
_cell_length_c 8.066
_cell_angle_alpha 90.00
_cell_angle_beta 90.00
_cell_angle_gamma 90.00
_space_group_name_H-M_alt 'P 4/m m m'
_space_group_IT_number 123
_space_group_name_Hall '-P 4 2'
loop_
_atom_site_label
_atom_site_fract_x
_atom_site_fract_y
_atom_site_fract_z
_atom_site_occupancy
Np1 0.000 0.000 0.000 1
U1 0.000 0.000 0.500 1
Rh1 0.000 0.500 0.254 1
Rh2 0.500 0.500 0.000 1
Rh3 0.500 0.500 0.500 1
```

---

DFT (PBE) results for a geometry-optimized Mg2In2Pb7 structure.

Offset from the most stable computed form (eV per formula unit): 0.32
Energy (eV/atom): -3.09
Total magnetic moment (μB per atom): 0.000
Crystal system: monoclinic

```
data_Mg2In2Pb7
_cell_length_a 11.461
_cell_length_b 9.539
_cell_length_c 6.074
_cell_angle_alpha 90.00
_cell_angle_beta 94.00
_cell_angle_gamma 90.00
_space_group_name_H-M_alt 'C 1 2/m 1'
_space_group_IT_number 12
_space_group_name_Hall '-C 2y'
loop_
_atom_site_label
_atom_site_fract_x
_atom_site_fract_y
_atom_site_fract_z
_atom_site_occupancy
Mg1 0.192 0.000 0.190 1
In1 0.000 0.202 0.000 1
Pb1 0.000 0.000 0.500 1
Pb2 0.045 0.500 0.749 1
Pb3 0.243 0.329 0.258 1
```

---

no.,energy relative to the elements (eV/atom)
1,-0.54
2,0.06